No. 1
GGA-PBE Cs2Rb3Hg, optimized geometry; space-group type = C2/m (12); polymorph energy (0 for the lowest one) = 0.00 kJ per mole of atoms; energy relative to the elements = -0.05 eV/atom; mass density = 2.393 g/cm3; DOS(E_F) = 10.033 states/eV/cell
1.0
4.2626 -9.1909 0.0000
4.2626 9.1909 0.0000
-2.1171 0.0000 12.8023
Cs Rb Hg
4 6 2
Cartesian
0.0000 0.0000 0.0000 Cs
-1.0585 0.0000 6.4012 Cs
4.2626 3.0244 0.0000 Cs
4.2626 -3.0244 0.0000 Cs
1.7609 5.3471 8.6145 Rb
4.6471 5.3471 4.1879 Rb
3.5577 0.0000 3.8216 Rb
2.8504 0.0000 8.9807 Rb
1.7609 -5.3471 8.6145 Rb
4.6471 -5.3471 4.1879 Rb
3.2040 2.6194 6.4012 Hg
3.2040 -2.6194 6.4012 Hg

***

No. 2
GGA-PBE Cs3RbHg, optimized geometry; space-group type = P6_3/mmc (194); polymorph energy (0 for the lowest one) = 3.93 kJ per mole of atoms; energy relative to the elements = -0.06 eV/atom; mass density = 2.816 g/cm3; DOS(E_F) = 9.733 states/eV/cell
1.0
7.7127 0.0000 0.0000
-3.8563 6.6794 0.0000
0.0000 0.0000 15.6793
Cs Rb Hg
6 2 2
Cartesian
0.0000 0.0000 3.9198 Cs
0.0000 0.0000 11.7595 Cs
0.0000 4.4529 1.0246 Cs
0.0000 4.4529 6.8150 Cs
3.8563 2.2264 8.8642 Cs
3.8563 2.2264 14.6547 Cs
0.0000 4.4529 11.7595 Rb
3.8563 2.2264 3.9198 Rb
0.0000 0.0000 0.0000 Hg
0.0000 0.0000 7.8396 Hg

***

No. 3
GGA-PBE Cs9Rb4Hg, optimized geometry; space-group type = P6_3/mmc (194); energy relative to the elements = -0.03 eV/atom; mass density = 2.114 g/cm3; DOS(E_F) = 27.798 states/eV/cell
1.0
14.6224 0.0000 0.0000
-7.3112 12.6634 0.0000
0.0000 0.0000 14.7492
Cs Rb Hg
18 8 2
Cartesian
-2.8226 6.8126 3.6873 Cs
0.0000 5.3828 8.3500 Cs
0.0000 5.3828 13.7739 Cs
-2.6495 9.9720 8.3500 Cs
-2.6495 9.9720 13.7739 Cs
4.6617 2.6914 0.9754 Cs
4.6617 2.6914 6.3993 Cs
2.8226 6.8126 3.6873 Cs
0.0000 11.7015 3.6873 Cs
7.3112 0.9619 11.0619 Cs
4.4886 5.8508 11.0619 Cs
2.6495 9.9720 8.3500 Cs
2.6495 9.9720 13.7739 Cs
9.9607 2.6914 0.9754 Cs
9.9607 2.6914 6.3993 Cs
7.3112 7.2805 0.9754 Cs
7.3112 7.2805 6.3993 Cs
10.1338 5.8508 11.0619 Cs
0.0000 0.0000 0.0000 Rb
0.0000 0.0000 7.3746 Rb
0.0000 2.8602 3.6873 Rb
-4.8342 11.2333 3.6873 Rb
2.4770 1.4301 11.0619 Rb
4.8342 11.2333 3.6873 Rb
12.1454 1.4301 11.0619 Rb
7.3112 9.8032 11.0619 Rb
0.0000 8.4423 11.0619 Hg
7.3112 4.2211 3.6873 Hg

***

No. 4
GGA-PBE Cs3RbHg4, optimized geometry; space-group type = C2/m (12); energy relative to the elements = -0.18 eV/atom; mass density = 4.832 g/cm3; DOS(E_F) = 5.327 states/eV/cell
1.0
12.6257 -3.2248 0.0000
12.6257 3.2248 0.0000
-1.1917 0.0000 5.4298
Cs Rb Hg
3 1 4
Cartesian
0.0000 0.0000 0.0000 Cs
4.5579 0.0000 1.0282 Cs
19.5018 0.0000 4.4016 Cs
12.0298 0.0000 2.7149 Rb
8.3609 0.0000 1.9012 Hg
9.0449 0.0000 4.8975 Hg
15.0147 0.0000 0.5323 Hg
15.6988 0.0000 3.5286 Hg

***

No. 5
GGA-PBE Cs12Rb3Hg4, optimized geometry; space-group type = Im-3 (204); energy relative to the elements = -0.08 eV/atom; mass density = 2.502 g/cm3; DOS(E_F) = 20.212 states/eV/cell
1.0
-7.6081 7.6081 7.6081
7.6081 -7.6081 7.6081
7.6081 7.6081 -7.6081
Cs Rb Hg
12 3 4
Cartesian
7.6081 3.8372 -3.7953 Cs
3.8128 0.0000 3.7709 Cs
11.4034 0.0000 3.7709 Cs
3.7709 3.8128 0.0000 Cs
3.8372 -3.7953 7.6081 Cs
0.0000 3.7709 3.8128 Cs
7.6081 3.8372 3.7953 Cs
3.7709 11.4034 0.0000 Cs
3.8372 3.7953 7.6081 Cs
-3.7953 7.6081 3.8372 Cs
3.7953 7.6081 3.8372 Cs
0.0000 3.7709 11.4034 Cs
7.6081 0.0000 0.0000 Rb
0.0000 7.6081 0.0000 Rb
0.0000 0.0000 7.6081 Rb
3.8040 3.8040 -3.8040 Hg
3.8040 -3.8040 3.8040 Hg
-3.8040 3.8040 3.8040 Hg
3.8040 3.8040 3.8040 Hg

***

No. 6
GGA-PBE CsRb2Hg2, optimized geometry; space-group type = I4/mmm (139); polymorph energy (0 for the lowest one) = 8.51 kJ per mole of atoms; energy relative to the elements = -0.09 eV/atom; mass density = 3.804 g/cm3; DOS(E_F) = 3.044 states/eV/cell
1.0
-3.3270 3.3270 6.9514
3.3270 -3.3270 6.9514
3.3270 3.3270 -6.9514
Cs Rb Hg
1 2 2
Cartesian
0.0000 0.0000 0.0000 Cs
0.0000 0.0000 4.8538 Rb
0.0000 0.0000 9.0491 Rb
3.3270 0.0000 3.4757 Hg
0.0000 3.3270 3.4757 Hg